The following is a PBE calculation of a geometry-optimized CsWS3 structure, from the Alexandria database.

```
CsWS3
1.0
6.293 0.000 0.000
0.000 8.292 2.057
0.000 -1.355 12.161
Cs W S
4 4 12
Direct
0.782 0.982 0.689
0.218 0.018 0.311
0.282 0.518 0.811
0.718 0.482 0.189
0.210 0.522 0.450
0.790 0.478 0.550
0.710 0.978 0.050
0.290 0.022 0.950
0.001 0.705 0.530
0.999 0.295 0.470
0.501 0.795 0.970
0.499 0.205 0.030
0.496 0.663 0.529
0.504 0.337 0.471
0.996 0.837 0.971
0.004 0.163 0.029
0.206 0.609 0.275
0.794 0.391 0.725
0.706 0.891 0.225
0.294 0.109 0.775
```

Calculated values
E above lowest polymorph = 0.000 eV/f.u.
Calculated density = 4.21 g/cm³
M_tot = 0.000 μB per formula unit
Space-group type = P2_1/c, No. 14
E_tot = -122.3 eV per cell
Raw formation energy = -0.877 eV per atom

The following is a PBE calculation of a geometry-optimized Pm4Mg5Zn2 structure, from the Alexandria database.

```
Pm4Mg5Zn2
1.0
-3.164 1.300 0.542
-1.958 -1.557 -7.698
-3.224 -9.267 3.403
Pm Mg Zn
4 5 2
Direct
0.500 0.746 0.552
0.500 0.155 0.870
0.500 0.254 0.448
0.500 0.845 0.130
0.000 0.565 0.298
0.000 0.199 0.165
0.000 0.500 0.000
0.000 0.801 0.835
0.000 0.435 0.702
0.000 0.056 0.632
0.000 0.944 0.368
```

Calculated values
Calculated density = 4.76 g/cm³
M_tot = 0.000 μB per formula unit
Space-group type = P2/m, No. 10
Calculated formation energy = -124 kJ/mol of formula units
E_tot = -30.8 eV per cell

The following is a PBE calculation of a geometry-optimized Dy5Th3S8 structure, from the Alexandria database.

```
Dy5Th3S8
1.0
6.808 0.000 3.900
2.287 6.412 3.900
-0.055 -0.039 7.988
Dy Th S
5 3 8
Direct
0.500 0.000 0.000
0.500 0.500 0.000
0.000 0.000 0.000
0.000 0.500 0.000
0.500 0.500 0.500
0.500 0.000 0.500
0.000 0.000 0.500
0.000 0.500 0.500
0.250 0.250 0.760
0.250 0.741 0.760
0.741 0.250 0.760
0.745 0.745 0.765
0.750 0.750 0.240
0.750 0.259 0.240
0.259 0.750 0.240
0.255 0.255 0.235
```

Calculated values
Calculated density = 8.36 g/cm³
M_tot = 0.000 μB per formula unit
Space-group type = R-3m, No. 166
E_tot = -109.1 eV per cell
Raw formation energy = -1.926 eV per atom

The following is a PBE calculation of a geometry-optimized KThTlCl6 structure, from the Alexandria database.

```
KThTlCl6
1.0
-7.629 1.092 1.244
2.847 -7.237 -0.686
2.017 -0.414 12.727
K Th Tl Cl
2 2 2 12
Direct
0.333 0.667 0.250
0.667 0.333 0.750
0.667 0.333 0.250
0.333 0.667 0.750
0.000 0.000 0.000
0.000 0.000 0.500
0.663 0.617 0.132
0.954 0.337 0.132
0.337 0.954 0.632
0.046 0.663 0.868
0.383 0.337 0.368
0.954 0.617 0.368
0.617 0.954 0.868
0.663 0.046 0.368
0.046 0.383 0.632
0.383 0.046 0.132
0.617 0.663 0.632
0.337 0.383 0.868
```

Calculated values
Calculated density = 3.36 g/cm³
M_tot = 0.000 μB per formula unit
Space-group type = P-31c, No. 163
E_tot = -78.3 eV per cell
Raw formation energy = -1.912 eV per atom

The following is a PBE calculation of a geometry-optimized HoTm2Mg6 structure, from the Alexandria database.

```
HoTm2Mg6
1.0
3.283 0.000 0.000
1.641 8.975 1.524
1.641 3.265 8.498
Ho Tm Mg
1 2 6
Direct
0.000 0.000 0.000
0.848 0.652 0.652
0.152 0.348 0.348
0.668 0.005 0.659
0.332 0.995 0.341
0.332 0.341 0.995
0.500 0.672 0.328
0.500 0.328 0.672
0.668 0.659 0.005
```

Calculated values
E above lowest polymorph = 0.492 eV/f.u.
Calculated density = 4.60 g/cm³
M_tot = 0.000 μB per formula unit
Space-group type = Immm, No. 71
Calculated formation energy = -1 kJ/mol of formula units
E_tot = -23.1 eV per cell

The following is a PBE calculation of a geometry-optimized SrZnRuW2 structure, from the Alexandria database.

```
SrZnRuW2
1.0
4.716 0.000 0.000
0.000 4.765 0.000
0.000 0.000 4.716
Ru Zn W Sr
1 1 2 1
Direct
0.000 0.500 0.000
0.000 0.000 0.000
0.000 0.000 0.500
0.500 0.000 0.000
0.500 0.500 0.500
```

Calculated values
Calculated density = 9.74 g/cm³
M_tot = 0.000 μB per formula unit
Space-group type = P4/mmm, No. 123
Calculated formation energy = 826 kJ/mol of formula units
E_tot = -29.6 eV per cell